No. 1
A plane-wave DFT calculation with PBE-GGA was carried out for crystalline Cu5NiAu6 at its relaxed geometry.

Calculated total energy (eV/atom): -3.853
Energy relative to the elements (eV per atom): -0.0260
Size of the total moment (μB per formula unit): 0.0
Crystal system: orthorhombic

a b c (Å): 7.4193 7.4193 7.4193
angles (deg): 147.47 124.09 66.20
Sites, in units of the cell vectors:
Cu 0.0000 0.0000 0.0000
Cu 0.1659 0.6659 0.5000
Cu 0.3337 0.3337 0.0000
Cu 0.6663 0.6663 0.0000
Cu 0.8341 0.3341 0.5000
Ni 0.5000 0.0000 0.5000
Au 0.0855 0.8339 0.2516
Au 0.2525 0.5000 0.7525
Au 0.4176 0.1661 0.2516
Au 0.5824 0.8339 0.7484
Au 0.7475 0.5000 0.2475
Au 0.9145 0.1661 0.7484

No. 2
A plane-wave DFT calculation with PBE-GGA was carried out for crystalline Ga2HCl8 at its relaxed geometry.

Calculated total energy (eV/atom): -2.824
Size of the total moment (μB per formula unit): 1.1
Crystal system: monoclinic

a b c (Å): 7.4218 7.4218 7.6123
angles (deg): 104.12 104.12 63.83
Sites, in units of the cell vectors:
Ga 0.2217 0.2217 0.3172
Ga 0.7783 0.7783 0.6828
H 0.0000 0.0000 0.0000
Cl 0.0897 0.6972 0.8520
Cl 0.2157 0.2157 0.6001
Cl 0.3028 0.9103 0.1480
Cl 0.3849 0.3849 0.2833
Cl 0.6151 0.6151 0.7167
Cl 0.6972 0.0897 0.8520
Cl 0.7843 0.7843 0.3999
Cl 0.9103 0.3028 0.1480

No. 3
A plane-wave DFT calculation with PBE-GGA was carried out for crystalline Nb2CoGe4 at its relaxed geometry.

Calculated total energy (eV/atom): -6.181
Energy relative to the elements (eV per atom): 0.3501
Size of the total moment (μB per formula unit): 0.0
Crystal system: tetragonal

a b c (Å): 7.1554 7.1554 7.1554
angles (deg): 142.83 142.83 53.57
Sites, in units of the cell vectors:
Nb 0.1103 0.1103 0.0000
Nb 0.8897 0.8897 0.0000
Co 0.5000 0.5000 0.0000
Ge 0.0000 0.5000 0.5000
Ge 0.3169 0.3169 0.0000
Ge 0.5000 0.0000 0.5000
Ge 0.6831 0.6831 0.0000